No. 1
# Pm5CdHg4 (PBE-GGA, optimized geometry)
# **ΔE_f**: -0.4433 eV per atom
# **Fermi-level density of states**: 11.9 states/eV/f.u.
data_Pm5CdHg4
_space_group_name_H-M_alt 'P 4/m m m'
_space_group_IT_number 123
_space_group_name_Hall '-P 4 2'
_cell_length_a 3.824
_cell_length_b 3.824
_cell_length_c 18.990
_cell_angle_alpha 90.00
_cell_angle_beta 90.00
_cell_angle_gamma 90.00
loop_
_atom_site_label
_atom_site_type_symbol
_atom_site_fract_x
_atom_site_fract_y
_atom_site_fract_z
_atom_site_occupancy
Pm1 Pm 0.000 0.000 0.000 1
Pm2 Pm 0.000 0.000 0.199 1
Pm3 Pm 0.000 0.000 0.399 1
Cd1 Cd 0.500 0.500 0.500 1
Hg1 Hg 0.500 0.500 0.100 1
Hg2 Hg 0.500 0.500 0.301 1

---

No. 2
# ErTaIr (PBE-GGA, optimized geometry)
# **ΔE_f**: -0.4421 eV per atom
# **Fermi-level density of states**: 3.2 states/eV/f.u.
data_ErTaIr
_space_group_name_H-M_alt 'I 4/m m m'
_space_group_IT_number 139
_space_group_name_Hall '-I 4 2'
_cell_length_a 3.933
_cell_length_b 3.933
_cell_length_c 15.981
_cell_angle_alpha 90.00
_cell_angle_beta 90.00
_cell_angle_gamma 90.00
loop_
_atom_site_label
_atom_site_type_symbol
_atom_site_fract_x
_atom_site_fract_y
_atom_site_fract_z
_atom_site_occupancy
Er1 Er 0.000 0.000 0.177 1
Ta1 Ta 0.000 0.500 0.000 1
Ir1 Ir 0.000 0.000 0.375 1